No. 1
The following is a GGA-PBE calculation of LiZrZnFe after structural relaxation, from OQMD via LeMat-Bulk.

Output
Crystal system ... cubic
Energy above the most stable polymorph in this dataset ... 0.0 meV per atom

Cell lengths 4.353, 4.353, 4.353 Å; angles 60.00, 60.00, 60.00 degrees
Fractional coordinates of all 4 atoms:
Fe (0.750, 0.750, 0.750)
Zr (0.500, 0.500, 0.500)
Zn (0.000, 0.000, 0.000)
Li (0.250, 0.250, 0.250)

No. 2
The following is a GGA-PBE calculation of HoPd4Au3O12 after structural relaxation, from OQMD via LeMat-Bulk.

Output
Crystal system ... cubic
Energy ... -5.360 eV per atom

Cell lengths 6.689, 6.689, 6.689 Å; angles 109.47, 109.47, 109.47 degrees
Fractional coordinates of all 20 atoms:
O (0.837, 0.545, 0.708)
O (0.455, 0.292, 0.163)
O (0.128, 0.292, 0.837)
O (0.163, 0.872, 0.708)
O (0.163, 0.455, 0.292)
O (0.837, 0.128, 0.292)
O (0.545, 0.708, 0.837)
O (0.708, 0.837, 0.545)
O (0.292, 0.163, 0.455)
O (0.708, 0.163, 0.872)
O (0.872, 0.708, 0.163)
O (0.292, 0.837, 0.128)
Au (0.500, 0.000, 0.500)
Au (0.000, 0.500, 0.500)
Au (0.500, 0.500, 0.000)
Pd (0.500, 0.000, 0.000)
Pd (0.000, 0.500, 0.000)
Pd (0.500, 0.500, 0.500)
Pd (0.000, 0.000, 0.500)
Ho (0.000, 0.000, 0.000)

No. 3
The following is a GGA-PBE calculation of AgSnMo after structural relaxation, from OQMD via LeMat-Bulk.

Output
Crystal system ... cubic
Energy ... -5.148 eV per atom

Cell lengths 4.542, 4.542, 4.542 Å; angles 60.00, 60.00, 60.00 degrees
Fractional coordinates of all 3 atoms:
Sn (0.000, 0.000, 0.000)
Ag (0.250, 0.250, 0.250)
Mo (0.750, 0.750, 0.750)

No. 4
The following is a GGA-PBE calculation of Y2ErGa3CuGe2 after structural relaxation, from OQMD via LeMat-Bulk.

Output
Crystal system ... orthorhombic
Energy ... -5.045 eV per atom

Cell lengths 4.140, 7.024, 7.024 Å; angles 119.90, 90.00, 90.00 degrees
Fractional coordinates of all 9 atoms:
Y (0.000, 0.999, 0.598)
Y (0.000, 0.598, 0.999)
Cu (0.000, 0.002, 0.002)
Ga (0.500, 0.765, 0.765)
Ga (0.500, 0.001, 0.235)
Ga (0.500, 0.235, 0.001)
Ge (0.500, 0.334, 0.665)
Ge (0.500, 0.665, 0.334)
Er (0.000, 0.401, 0.401)

No. 5
The following is a GGA-PBE calculation of Pm2Zn3Pt4 after structural relaxation, from OQMD via LeMat-Bulk.

Output
DFT formation energy ... -7.8 eV/f.u.
Crystal system ... orthorhombic

Cell lengths 8.252, 8.252, 7.615 Å; angles 90.00, 90.00, 139.96 degrees
Fractional coordinates of all 18 atoms:
Zn (0.522, 0.978, 0.750)
Zn (0.000, 0.000, 0.500)
Zn (0.022, 0.478, 0.750)
Zn (0.978, 0.522, 0.250)
Zn (0.500, 0.500, 0.000)
Zn (0.478, 0.022, 0.250)
Pt (0.178, 0.822, 0.525)
Pt (0.822, 0.178, 0.475)
Pt (0.678, 0.322, 0.975)
Pt (0.690, 0.810, 0.750)
Pt (0.810, 0.690, 0.250)
Pt (0.310, 0.190, 0.250)
Pt (0.322, 0.678, 0.025)
Pt (0.190, 0.310, 0.750)
Pm (0.112, 0.888, 0.915)
Pm (0.612, 0.388, 0.585)
Pm (0.388, 0.612, 0.415)
Pm (0.888, 0.112, 0.085)

No. 6
The following is a GGA-PBE calculation of LiFeNiPb after structural relaxation, from OQMD via LeMat-Bulk.

Output
Crystal system ... cubic
Energy above the most stable polymorph in this dataset ... 0.0 meV per atom

Cell lengths 4.358, 4.358, 4.358 Å; angles 60.00, 60.00, 60.00 degrees
Site moments in Bohr magnetons follow the coordinates.
Fractional coordinates of all 4 atoms:
Pb (0.250, 0.250, 0.250)  -0.01
Ni (0.500, 0.500, 0.500)  0.43
Li (0.000, 0.000, 0.000)  -0.01
Fe (0.750, 0.750, 0.750)  2.92

No. 7
The following is a GGA-PBE calculation of Y2BiPd after structural relaxation, from OQMD via LeMat-Bulk.

Output
Crystal system ... cubic
Energy ... -5.733 eV per atom

Cell lengths 5.222, 5.222, 5.222 Å; angles 60.00, 60.00, 60.00 degrees
Site moments in Bohr magnetons follow the coordinates.
Fractional coordinates of all 4 atoms:
Y (0.000, 0.000, 0.000)  0.04
Y (0.750, 0.750, 0.750)  0.05
Bi (0.500, 0.500, 0.500)  0.00
Pd (0.250, 0.250, 0.250)  0.01

No. 8
The following is a GGA-PBE calculation of CdAg2SnSe2S2 after structural relaxation, from OQMD via LeMat-Bulk.

Output
Crystal system ... monoclinic
Energy above the most stable polymorph in this dataset ... 0.0 meV per atom

Cell lengths 7.370, 7.370, 5.962 Å; angles 113.53, 113.53, 47.56 degrees
Fractional coordinates of all 8 atoms:
Ag (0.251, 0.249, 0.724)
Ag (0.751, 0.749, 0.276)
Sn (0.492, 0.508, 0.500)
S (0.378, 0.861, 0.380)
S (0.139, 0.622, 0.620)
Cd (0.009, 0.991, 0.000)
Se (0.868, 0.387, 0.870)
Se (0.613, 0.132, 0.130)

No. 9
The following is a GGA-PBE calculation of GdAlPt after structural relaxation, from OQMD via LeMat-Bulk.

Output
Crystal system ... hexagonal
Energy ... -5.851 eV per atom

Cell lengths 4.460, 4.460, 7.216 Å; angles 90.00, 90.00, 120.00 degrees
Fractional coordinates of all 6 atoms:
Gd (0.000, 0.000, 0.500)
Gd (0.000, 0.000, 0.000)
Al (0.333, 0.667, 0.250)
Al (0.667, 0.333, 0.750)
Pt (0.333, 0.667, 0.750)
Pt (0.667, 0.333, 0.250)

No. 10
The following is a GGA-PBE calculation of PrDyBi2Te2 after structural relaxation, from OQMD via LeMat-Bulk.

Output
Crystal system ... tetragonal
Energy ... -5.006 eV per atom

Cell lengths 4.436, 4.436, 9.483 Å; angles 90.00, 90.00, 90.00 degrees
Fractional coordinates of all 6 atoms:
Te (0.500, 0.500, 0.369)
Te (0.000, 0.000, 0.620)
Dy (0.000, 0.000, 0.286)
Bi (0.000, 0.500, 0.004)
Bi (0.500, 0.000, 0.004)
Pr (0.500, 0.500, 0.717)

No. 11
The following is a GGA-PBE calculation of SrSm2Ge4 after structural relaxation, from OQMD via LeMat-Bulk.

Output
Crystal system ... tetragonal
Energy ... -4.333 eV per atom

Cell lengths 6.815, 6.815, 6.815 Å; angles 101.80, 101.80, 126.22 degrees
Fractional coordinates of all 7 atoms:
Ge (0.500, 0.705, 0.205)
Ge (0.295, 0.500, 0.795)
Ge (0.500, 0.295, 0.795)
Ge (0.705, 0.500, 0.205)
Sm (0.750, 0.250, 0.500)
Sm (0.250, 0.750, 0.500)
Sr (0.000, 0.000, 0.000)

No. 12
The following is a GGA-PBE calculation of ReBPt after structural relaxation, from OQMD via LeMat-Bulk.

Output
Crystal system ... cubic
Energy ... -7.322 eV per atom

Cell lengths 3.995, 3.995, 3.995 Å; angles 60.00, 60.00, 60.00 degrees
Fractional coordinates of all 3 atoms:
Pt (0.000, 0.000, 0.000)
Re (0.750, 0.750, 0.750)
B (0.250, 0.250, 0.250)

No. 13
The following is a GGA-PBE calculation of DyErSiGeOs after structural relaxation, from OQMD via LeMat-Bulk.

Output
Crystal system ... monoclinic
Energy above the most stable polymorph in this dataset ... 11.7 meV per atom

Cell lengths 5.738, 5.738, 10.093 Å; angles 116.34, 116.34, 43.17 degrees
Fractional coordinates of all 10 atoms:
Ge (0.513, 0.513, 0.376)
Ge (0.487, 0.487, 0.624)
Er (0.815, 0.815, 0.384)
Er (0.185, 0.185, 0.616)
Os (0.733, 0.733, 0.875)
Os (0.267, 0.267, 0.125)
Dy (0.007, 0.007, 0.175)
Dy (0.993, 0.993, 0.825)
Si (0.644, 0.644, 0.060)
Si (0.356, 0.356, 0.940)

No. 14
The following is a GGA-PBE calculation of NdZrFe after structural relaxation, from OQMD via LeMat-Bulk.

Output
DFT formation energy ... 0.9 eV/f.u.
Crystal system ... cubic
Energy above the most stable polymorph in this dataset ... 0.0 meV per atom

Cell lengths 4.595, 4.595, 4.595 Å; angles 60.00, 60.00, 60.00 degrees
Fractional coordinates of all 3 atoms:
Fe (0.000, 0.000, 0.000)
Nd (0.250, 0.250, 0.250)
Zr (0.750, 0.750, 0.750)

No. 15
The following is a GGA-PBE calculation of TbCdAgHg after structural relaxation, from OQMD via LeMat-Bulk.

Output
DFT formation energy ... -1.4 eV/f.u.
Crystal system ... cubic

Cell lengths 5.016, 5.016, 5.016 Å; angles 60.00, 60.00, 60.00 degrees
Fractional coordinates of all 4 atoms:
Tb (0.750, 0.750, 0.750)
Ag (0.000, 0.000, 0.000)
Hg (0.500, 0.500, 0.500)
Cd (0.250, 0.250, 0.250)

No. 16
The following is a GGA-PBE calculation of TaBIr after structural relaxation, from OQMD via LeMat-Bulk.

Output
Crystal system ... cubic
Energy ... -8.883 eV per atom

Cell lengths 4.060, 4.060, 4.060 Å; angles 60.00, 60.00, 60.00 degrees
Fractional coordinates of all 3 atoms:
Ir (0.000, 0.000, 0.000)
Ta (0.750, 0.750, 0.750)
B (0.250, 0.250, 0.250)

No. 17
The following is a GGA-PBE calculation of PrTaIn after structural relaxation, from OQMD via LeMat-Bulk.

Output
Crystal system ... cubic
Energy ... -5.236 eV per atom

Cell lengths 5.087, 5.087, 5.087 Å; angles 60.00, 60.00, 60.00 degrees
Site moments in Bohr magnetons follow the coordinates.
Fractional coordinates of all 3 atoms:
Pr (0.000, 0.000, 0.000)  0.33
Ta (0.750, 0.750, 0.750)  1.64
In (0.250, 0.250, 0.250)  -0.07

No. 18
The following is a GGA-PBE calculation of FeReHgBi after structural relaxation, from OQMD via LeMat-Bulk.

Output
Crystal system ... cubic
Energy above the most stable polymorph in this dataset ... 0.0 meV per atom

Cell lengths 4.705, 4.705, 4.705 Å; angles 60.00, 60.00, 60.00 degrees
Fractional coordinates of all 4 atoms:
Fe (0.750, 0.750, 0.750)
Re (0.250, 0.250, 0.250)
Bi (0.000, 0.000, 0.000)
Hg (0.500, 0.500, 0.500)

No. 19
The following is a GGA-PBE calculation of NaAsIrO4F after structural relaxation, from OQMD via LeMat-Bulk.

Output
Crystal system ... monoclinic
Energy ... -5.798 eV per atom

Cell lengths 5.551, 5.551, 7.191 Å; angles 105.79, 105.79, 105.97 degrees
Fractional coordinates of all 16 atoms:
O (0.243, 0.386, 0.558)
O (0.667, 0.079, 0.371)
O (0.386, 0.243, 0.058)
O (0.333, 0.921, 0.629)
O (0.921, 0.333, 0.129)
O (0.614, 0.757, 0.942)
O (0.079, 0.667, 0.871)
O (0.757, 0.614, 0.442)
F (0.900, 0.100, 0.750)
F (0.100, 0.900, 0.250)
Ir (0.000, 0.000, 0.500)
Ir (0.000, 0.000, 0.000)
Na (0.349, 0.651, 0.250)
Na (0.651, 0.349, 0.750)
As (0.309, 0.691, 0.750)
As (0.691, 0.309, 0.250)

No. 20
The following is a GGA-PBE calculation of Li2TlHg2 after structural relaxation, from OQMD via LeMat-Bulk.

Output
Crystal system ... tetragonal
Energy ... -1.496 eV per atom

Cell lengths 4.285, 4.285, 6.951 Å; angles 107.95, 107.95, 90.00 degrees
Fractional coordinates of all 5 atoms:
Tl (0.000, 0.000, 0.000)
Li (0.393, 0.393, 0.785)
Li (0.607, 0.607, 0.215)
Hg (0.250, 0.750, 0.500)
Hg (0.750, 0.250, 0.500)